# CsRb2LiI4

A relaxed structure of CsRb2LiI4 (GGA-PBE, Alexandria).

Output
The calculation puts the uncorrected formation energy at -1.425 eV per atom. The calculation puts the total DFT energy (no corrections) at -2.7883 eV per atom.

Cell lengths 5.0790, 17.2770, 18.2684 Å; angles 90.00, 90.00, 90.00 degrees
Last column: nearest neighbours and their distance in Å.
Space group Cmcm (No. 63)
Inequivalent atoms, fractional coordinates:
Cs: 0.0000 0.1025 0.2500 x4  6 I 3.99-4.10
Rb: 0.0000 0.3633 0.0524 x8  6 I 3.60-3.73
Li: 0.0000 0.1722 0.7500 x4  4 I 2.76-2.97
I: 0.0000 0.0000 0.0000 x4  4 Rb 3.60
I: 0.0000 0.2711 0.6311 x8  1 Li 2.76
I: 0.0000 0.4164 0.2500 x4  2 Li 2.97